This record from Alexandria via LeMat-Bulk describes a relaxed MnIrAu2 crystal. The functional is PBE.

abc: 4.774 4.774 3.006
angles: 90.00 90.00 107.83
Atoms (fractional coordinates):
Ir  0.500  0.000  0.500
Mn  0.000  0.500  0.500
Au  0.000  0.000  0.000
Au  0.500  0.500  0.000

Properties
Its energy is -23.96 eV/cell. For the calculated density, the calculation gives 16.32 Mg/m³. For the formation energy, the calculation gives 60 kJ/mol of formula units.

This record from Alexandria via LeMat-Bulk describes a relaxed MnIrAu4 crystal. The functional is PBE.

abc: 5.387 5.387 5.387
angles: 60.00 60.00 60.00
Atoms (fractional coordinates):
Mn  0.000  0.000  0.000
Au  0.875  0.375  0.375
Au  0.375  0.375  0.875
Au  0.375  0.375  0.375
Au  0.375  0.875  0.375
Ir  0.750  0.750  0.750

Properties
Its energy is -28.18 eV/cell. For the calculated density, the calculation gives 15.55 Mg/m³. For the formation energy, the calculation gives 285 kJ/mol of formula units.

This record from Alexandria via LeMat-Bulk describes a relaxed MnIrAu2 crystal. The functional is PBE.

abc: 4.880 4.880 4.880
angles: 131.16 131.16 71.55
Atoms (fractional coordinates):
Au  0.000  0.000  0.000
Au  0.250  0.750  0.500
Ir  0.500  0.500  0.000
Mn  0.750  0.250  0.500

Properties
Its energy is -24.11 eV/cell. For the calculated density, the calculation gives 16.51 Mg/m³. For the formation energy, the calculation gives 46 kJ/mol of formula units.

This record from Alexandria via LeMat-Bulk describes a relaxed MnIr2Au crystal. The functional is PBE.

abc: 2.798 3.630 5.903
angles: 90.00 90.00 90.00
Atoms (fractional coordinates):
Ir  0.000  0.000  0.027
Ir  0.000  0.000  0.473
Mn  0.500  0.500  0.250
Au  0.500  0.500  0.750

Properties
Its energy is -29.63 eV/cell. For the calculated density, the calculation gives 17.63 Mg/m³. For the formation energy, the calculation gives 52 kJ/mol of formula units.

Q: Which of these has the lowest energy?
A: MnIr2Au